Below is a relaxed structure of Rb2SrZnBr, with properties calculated at the GGA-PBEsol level.

abc: 5.897 7.742 7.742
angles: 90.00 90.00 90.00
Atoms (fractional coordinates):
Rb1 0.000 0.500 0.000
Rb2 0.000 0.000 0.500
Br1 0.500 0.500 0.500
Zn1 0.500 0.000 0.000
Sr1 0.000 0.000 0.000

formation energy without anion corrections: 0.90 eV per formula unit
calculated volume: 70.70 Å³/atom

Below is a relaxed structure of Rb3TaBr, with properties calculated at the GGA-PBEsol level.

abc: 6.695 6.695 6.695
angles: 90.00 90.00 90.00
Atoms (fractional coordinates):
Rb1 0.000 0.500 0.000
Rb2 0.500 0.000 0.000
Rb3 0.000 0.000 0.500
Ta1 0.000 0.000 0.000
Br1 0.500 0.500 0.500

formation energy without anion corrections: 4.41 eV per formula unit
calculated volume: 60.02 Å³/atom

Below is a relaxed structure of Rb2TaBr, with properties calculated at the GGA-PBEsol level.

abc: 5.003 9.355 9.355
angles: 85.90 74.49 74.49
Atoms (fractional coordinates):
Rb1 0.875 0.838 0.662
Rb2 0.375 0.162 0.338
Rb3 0.463 0.662 0.162
Rb4 0.287 0.338 0.838
Br1 0.500 0.000 0.000
Br2 0.250 0.500 0.500
Ta1 0.750 0.500 0.500
Ta2 0.000 0.000 0.000

formation energy without anion corrections: 3.15 eV per formula unit
calculated volume: 50.81 Å³/atom

formation energy without anion corrections of number 2 (Rb3TaBr)? 4.41 eV per formula unit

The highest calculated volume belongs to which entry? Rb2SrZnBr